## CrAs2Cl (PBE)

Data for CrAs2Cl after structural relaxation.

Cell lengths 4.9684, 4.9684, 2.9822 Å; angles 90.00, 90.00, 90.00 degrees
Closest atoms and distances in Å follow each position.
Sites, in units of the cell vectors:
As: 0.0000 0.0000 0.0000  4 Cr 2.90, 4 Cl 2.90, 2 As 2.98
Cr: 0.0000 0.5000 0.5000  8 As 2.90, 2 Cr 2.98
Cl: 0.5000 0.0000 0.5000  8 As 2.90, 2 Cl 2.98
As: 0.5000 0.5000 0.0000  4 Cr 2.90, 4 Cl 2.90, 2 As 2.98

Uncorrected formation energy in eV/atom: 0.435
Calculated volume in Å³/cell: 74
Spin magnetization in μB/f.u.: 3.71
Relative energy among the computed polymorphs in meV per atom: 667.3
Space group: No. 123